(1)
YSc2Rh: relaxed, PBE-GGA.

Unit cell a=3.397 b=3.397 c=7.935 alpha=90.00 beta=90.00 gamma=90.00
Space group P4mm (No. 99)
Inequivalent atoms, fractional coordinates:
Y 0.000 0.000 0.000
Sc 0.000 0.000 0.401
Sc 0.500 0.500 0.681
Rh 0.500 0.500 0.225

## Properties
- energy above the most stable polymorph in this dataset (eV per atom) = 0.125

---

(2)
Ta2AsOs: relaxed, PBE-GGA.

Unit cell a=4.106 b=4.106 c=3.906 alpha=90.00 beta=90.00 gamma=90.00
Space group P4/mmm (No. 123)
Inequivalent atoms, fractional coordinates:
Ta 0.000 0.500 0.000
As 0.000 0.000 0.500
Os 0.500 0.500 0.500

---

(3)
LaZrTa2: relaxed, PBE-GGA.

Unit cell a=8.006 b=8.006 c=5.871 alpha=90.00 beta=90.00 gamma=90.00
Space group I-42d (No. 122)
Inequivalent atoms, fractional coordinates:
La 0.000 0.000 0.000
Zr 0.000 0.000 0.500
Ta 0.239 0.750 0.625

## Properties
- energy above the most stable polymorph in this dataset (eV per atom) = 0.718

---

(4)
Ta3BeP2: relaxed, PBE-GGA.

Unit cell a=9.740 b=3.474 c=9.937 alpha=90.00 beta=90.00 gamma=90.00
Space group Pnma (No. 62)
Inequivalent atoms, fractional coordinates:
Ta 0.060 0.250 0.123
Ta 0.124 0.750 0.560
Ta 0.205 0.250 0.798
Be 0.129 0.250 0.376
P 0.025 0.750 0.313
P 0.187 0.750 0.989

---

Calculated M_tot (μB per cell), listed in the same order as above: 1.0, 0.0, 0.0, 0.0
Calculated volume (Å³/atom), listed in the same order as above: 22.9, 16.5, 23.5, 14.0
Calculated total DFT energy (no corrections) (eV for the cell shown), listed in the same order as above: -28.07, -39.39, -133.93, -213.57